# 1
Li2ZnRh2 PBE relaxed; electronic total energy = -4.04 eV/atom; ΔE_f = -0.08 eV/atom; density = 7.64 g cm⁻³; V = 124 Å³/cell; space-group type = P4/mbm, No. 127; energy above the most stable polymorph in this dataset = 0.128 eV/atom
1.0
6.047 0.000 0.000
0.000 6.047 0.000
0.000 0.000 3.388
Li Zn Rh
4 2 4
direct
0.122 0.378 0.000
0.378 0.878 0.000
0.622 0.122 0.000
0.878 0.622 0.000
0.000 0.000 0.000
0.500 0.500 0.000
0.181 0.681 0.500
0.319 0.181 0.500
0.681 0.819 0.500
0.819 0.319 0.500

***

# 2
Ca2YHg PBE relaxed; electronic total energy = -2.93 eV/atom; ΔE_f = -0.24 eV/atom; density = 4.63 g cm⁻³; V = 133 Å³/cell; space-group type = P4mm, No. 99
1.0
3.732 0.000 0.000
0.000 3.732 0.000
0.000 0.000 9.523
Ca Y Hg
2 1 1
direct
0.000 0.000 0.000
0.500 0.500 0.318
0.500 0.500 0.709
0.000 0.000 0.522

***

# 3
Th2Cu3Pd2 PBE relaxed; electronic total energy = -5.81 eV/atom; ΔE_f = -0.45 eV/atom; density = 10.71 g cm⁻³; V = 269 Å³/cell; space-group type = C2/m, No. 12
1.0
9.942 0.000 0.000
0.000 4.411 0.000
-2.012 0.000 6.132
Th Cu Pd
4 6 4
direct
0.139 0.000 0.259
0.361 0.500 0.741
0.639 0.500 0.259
0.861 0.000 0.741
0.000 0.500 0.500
0.099 0.500 0.915
0.401 0.000 0.085
0.500 0.000 0.500
0.599 0.000 0.915
0.901 0.500 0.085
0.156 0.000 0.725
0.344 0.500 0.275
0.656 0.500 0.725
0.844 0.000 0.275

***

# 4
Y2Mg2Sn7 PBE relaxed; electronic total energy = -4.22 eV/atom; ΔE_f = -0.21 eV/atom; density = 5.84 g cm⁻³; V = 301 Å³/cell; space-group type = C2/m, No. 12
1.0
5.385 -4.719 0.000
5.385 4.719 0.000
-0.582 0.000 5.920
Y Mg Sn
2 2 7
direct
0.195 0.805 0.000
0.805 0.195 0.000
0.245 0.245 0.225
0.755 0.755 0.775
0.000 0.000 0.500
0.055 0.416 0.727
0.416 0.055 0.727
0.469 0.469 0.740
0.531 0.531 0.260
0.584 0.945 0.273
0.945 0.584 0.273

***

# 5
PuNi2H6 PBE relaxed; electronic total energy = -5.39 eV/atom; density = 8.75 g cm⁻³; V = 70 Å³/cell; space-group type = P6/mmm, No. 191
1.0
4.398 0.000 0.000
-2.199 3.808 0.000
0.000 0.000 4.163
Pu Ni H
1 2 6
direct
0.000 0.000 0.000
0.333 0.667 0.500
0.667 0.333 0.500
0.000 0.500 0.248
0.000 0.500 0.752
0.500 0.000 0.248
0.500 0.000 0.752
0.500 0.500 0.248
0.500 0.500 0.752

***

# 6
HgHCS2 PBE relaxed; electronic total energy = -3.12 eV/atom; density = 6.89 g cm⁻³; V = 67 Å³/cell; space-group type = P4/mmm, No. 123
1.0
4.679 0.000 0.000
0.000 4.679 0.000
0.000 0.000 3.058
Hg H C S
1 1 1 2
direct
0.000 0.000 0.000
0.500 0.500 0.000
0.500 0.500 0.500
0.000 0.500 0.500
0.500 0.000 0.500

***

# 7
La2YPb4 PBE relaxed; electronic total energy = -4.59 eV/atom; ΔE_f = -0.14 eV/atom; density = 7.41 g cm⁻³; V = 536 Å³/cell; space-group type = I4/mmm, No. 139
1.0
5.703 0.000 0.000
0.000 5.703 0.000
0.000 0.000 16.467
La Y Pb
4 2 8
direct
0.000 0.000 0.119
0.000 0.000 0.881
0.500 0.500 0.381
0.500 0.500 0.619
0.000 0.000 0.500
0.500 0.500 0.000
0.000 0.000 0.315
0.000 0.000 0.685
0.000 0.500 0.000
0.000 0.500 0.500
0.500 0.000 0.000
0.500 0.000 0.500
0.500 0.500 0.185
0.500 0.500 0.815

***

# 8
Mg3NbBr PBE relaxed; electronic total energy = -2.50 eV/atom; density = 3.18 g cm⁻³; V = 128 Å³/cell; space-group type = Pm-3m, No. 221; energy above the most stable polymorph in this dataset = 0.000 eV/atom; ΔE_f (raw) = 0.81 eV per atom
1.0
5.043 0.000 0.000
0.000 5.043 0.000
0.000 0.000 5.043
Mg Nb Br
3 1 1
direct
0.000 0.000 0.500
0.000 0.500 0.000
0.500 0.000 0.000
0.500 0.500 0.500
0.000 0.000 0.000